{"formula": "MgSc2Ni", "functional": "PBEsol", "state": "relaxed", "lattice": [[3.535, 0.000, 0.000], [0.000, 4.907, 0.000], [-1.767, -2.454, 4.356]], "species": ["Mg", "Ni", "Sc", "Sc"], "frac_coords": [[0.500, 0.000, 0.000], [0.000, 0.500, 0.000], [0.295, 0.295, 0.591], [0.705, 0.705, 0.409]], "final_energy_ev_per_atom": -5.41, "sg": "Immm, No. 71"}